A relaxed structure of Ce2Y7Er2, computed with PBE. Values from VASP.

```
&SYSTEM
  ibrav = 0, nat = 11, ntyp = 3
/
ATOMIC_SPECIES
Ce 140.12 Ce.upf
Y 88.91 Y.upf
Er 167.26 Er.upf
CELL_PARAMETERS angstrom
5.706 -5.694 0.000
5.706 5.694 0.000
-2.133 0.000 5.490
ATOMIC_POSITIONS angstrom
Ce 0.008 0.000 1.750
Ce 9.271 0.000 3.740
Y 2.961 2.622 1.756
Y 1.248 0.000 4.938
Y 6.318 2.622 3.735
Y 4.639 0.000 2.745
Y 2.961 -2.622 1.756
Y 8.031 0.000 0.552
Y 6.318 -2.622 3.735
Er 5.706 2.492 0.000
Er 5.706 -2.492 0.000
```

Output
- energy above the lowest structure with this stoichiometry (kcal/mol of atoms) = 0.67
- ΔH_f (0 K) (kJ/mol of formula units) = 223
- DFT total energy (eV/cell) = -63.9

A relaxed structure of Mg2NbSi, computed with PBE. Values from VASP.

```
&SYSTEM
  ibrav = 0, nat = 8, ntyp = 3
/
ATOMIC_SPECIES
Mg 24.30 Mg.upf
Nb 92.91 Nb.upf
Si 28.09 Si.upf
CELL_PARAMETERS angstrom
-3.846 3.846 2.623
3.846 -3.846 2.623
3.846 3.846 -2.623
ATOMIC_POSITIONS angstrom
Mg 1.923 1.620 -0.656
Mg 2.226 -1.923 3.279
Mg 1.923 2.226 1.968
Mg 1.620 5.770 0.656
Nb 3.846 0.000 1.312
Nb 0.000 0.000 2.623
Si 0.000 0.000 0.000
Si 0.000 3.846 1.312
```

Output
- E_form (uncorrected) (eV per formula unit) = 1.426
- DFT total energy (eV/cell) = -34.5

DFT total energy of number 2 (Mg2NbSi)?
-34.5 eV/cell